The following is a PBEsol calculation of crystalline Cu2Rh at its relaxed geometry, from Alexandria.

## Properties
Raw total energy ... -5.5178 eV/atom
DOS(E_F) ... 4.0 states/eV/f.u.
ρ ... 10.5 Mg/m³
Calculated formation energy ... 84 meV/atom

Cell lengths 3.6450, 3.6450, 11.2710 Å; angles 99.31, 99.31, 90.00 degrees
Last column: nearest neighbours and their distance in Å.
Element x y z (fractional)
Cu1 0.7491 0.7491 0.4981  8 Cu 2.54-2.58, 4 Rh 2.55-2.58
Cu2 0.2509 0.2509 0.5019  8 Cu 2.54-2.58, 4 Rh 2.55-2.58
Cu3 0.9991 0.4991 0.9981  8 Cu 2.54-2.58, 4 Rh 2.55-2.58
Cu4 0.5009 0.0009 0.0019  8 Cu 2.54-2.58, 4 Rh 2.55-2.58
Cu5 0.5819 0.5819 0.1637  6 Cu 2.54-2.63, 6 Rh 2.58-2.62
Cu6 0.4181 0.4181 0.8363  6 Cu 2.54-2.63, 6 Rh 2.58-2.62
Cu7 0.8319 0.3319 0.6637  6 Cu 2.54-2.63, 6 Rh 2.58-2.62
Cu8 0.6681 0.1681 0.3363  6 Cu 2.54-2.63, 6 Rh 2.58-2.62
Rh1 0.9176 0.9176 0.8352  10 Cu 2.55-2.62, 2 Rh 2.61
Rh2 0.0824 0.0824 0.1648  10 Cu 2.55-2.62, 2 Rh 2.61
Rh3 0.1676 0.6676 0.3352  10 Cu 2.55-2.62, 2 Rh 2.61
Rh4 0.3324 0.8324 0.6648  10 Cu 2.55-2.62, 2 Rh 2.61

***

The following is a PBEsol calculation of crystalline Cu2Rh at its relaxed geometry, from Alexandria.

## Properties
Raw total energy ... -5.5557 eV/atom
DOS(E_F) ... 2.5 states/eV/f.u.
ρ ... 10.4 Mg/m³
Calculated formation energy ... 47 meV/atom

Cell lengths 2.5993, 2.5993, 6.2611 Å; angles 90.00, 90.00, 120.00 degrees
Last column: nearest neighbours and their distance in Å.
Element x y z (fractional)
Rh1 0.0000 0.0000 0.0000  6 Rh 2.60, 6 Cu 2.61
Cu1 0.6667 0.3333 0.3406  9 Cu 2.50-2.60, 3 Rh 2.61
Cu2 0.3333 0.6667 0.6594  9 Cu 2.50-2.60, 3 Rh 2.61

***

Q: Number 1 is which compound?
A: Cu2Rh